A plane-wave DFT calculation with GGA-PBE was carried out for SnBiF6 after structural relaxation.

a = 5.253 Å, b = 5.253 Å, c = 5.962 Å
α = 63.86°, β = 63.86°, γ = 60.00°
Positions (direct):
1 Sn 0.000 0.000 0.000
2 Bi 0.500 0.500 0.500
3 F 0.087 0.087 0.247
4 F 0.087 0.579 0.247
5 F 0.421 0.913 0.753
6 F 0.913 0.421 0.753
7 F 0.913 0.913 0.753
8 F 0.579 0.087 0.247

Values from the calculation:
D(E_F), states/eV/cell: 1.54
Uncorrected formation energy, meV per atom: -2001
Polymorph energy (0 for the lowest one), eV/f.u.: 2.11

***

A plane-wave DFT calculation with GGA-PBE was carried out for SnBiF after structural relaxation.

a = 4.372 Å, b = 4.372 Å, c = 5.050 Å
α = 115.65°, β = 115.65°, γ = 90.00°
Positions (direct):
1 Bi 0.989 0.989 0.977
2 Sn 0.568 0.568 0.137
3 F 0.293 0.293 0.586

Values from the calculation:
D(E_F), states/eV/cell: 0.99
Uncorrected formation energy, meV per atom: -830
Polymorph energy (0 for the lowest one), eV/f.u.: 0.12

***

A plane-wave DFT calculation with GGA-PBE was carried out for SnBi2F after structural relaxation.

a = 5.185 Å, b = 5.185 Å, c = 5.185 Å
α = 60.00°, β = 60.00°, γ = 60.00°
Positions (direct):
1 F 0.000 0.000 0.000
2 Bi 0.250 0.250 0.250
3 Bi 0.750 0.750 0.750
4 Sn 0.500 0.500 0.500

Values from the calculation:
D(E_F), states/eV/cell: 1.46
Uncorrected formation energy, meV per atom: -514
Polymorph energy (0 for the lowest one), eV/f.u.: 0.00

***

A plane-wave DFT calculation with GGA-PBE was carried out for SnBi3F after structural relaxation.

a = 5.161 Å, b = 5.161 Å, c = 5.161 Å
α = 90.00°, β = 90.00°, γ = 90.00°
Positions (direct):
1 F 0.000 0.000 0.000
2 Bi 0.000 0.500 0.000
3 Bi 0.000 0.000 0.500
4 Bi 0.500 0.000 0.000
5 Sn 0.500 0.500 0.500

Values from the calculation:
D(E_F), states/eV/cell: 3.04
Uncorrected formation energy, meV per atom: -291
Polymorph energy (0 for the lowest one), eV/f.u.: 0.00

***

A plane-wave DFT calculation with GGA-PBE was carried out for SnBi2F after structural relaxation.

a = 5.525 Å, b = 5.525 Å, c = 8.897 Å
α = 71.91°, β = 71.91°, γ = 90.00°
Positions (direct):
1 F 0.500 0.500 0.000
2 F 0.250 0.750 0.500
3 Bi 0.530 0.125 0.250
4 Bi 0.220 0.625 0.250
5 Bi 0.375 0.470 0.750
6 Bi 0.875 0.780 0.750
7 Sn 0.000 0.000 0.000
8 Sn 0.750 0.250 0.500

Values from the calculation:
D(E_F), states/eV/cell: 3.60
Uncorrected formation energy, meV per atom: -489
Polymorph energy (0 for the lowest one), eV/f.u.: 0.10

***

A plane-wave DFT calculation with GGA-PBE was carried out for SnBiF after structural relaxation.

a = 3.468 Å, b = 3.468 Å, c = 7.382 Å
α = 90.00°, β = 90.00°, γ = 120.00°
Positions (direct):
1 F 0.333 0.667 0.591
2 Bi 0.000 0.000 0.012
3 Sn 0.667 0.333 0.397

Values from the calculation:
D(E_F), states/eV/cell: 0.76
Uncorrected formation energy, meV per atom: -868
Polymorph energy (0 for the lowest one), eV/f.u.: 0.00

***

A plane-wave DFT calculation with GGA-PBE was carried out for SnBi2F8 after structural relaxation.

a = 4.411 Å, b = 6.403 Å, c = 6.403 Å
α = 111.80°, β = 97.18°, γ = 97.18°
Positions (direct):
1 F 0.418 0.948 0.676
2 F 0.418 0.676 0.948
3 F 0.806 0.639 0.639
4 F 0.000 0.761 0.239
5 F 0.000 0.239 0.761
6 F 0.194 0.361 0.361
7 F 0.582 0.324 0.052
8 F 0.582 0.052 0.324
9 Sn 0.000 0.000 0.000
10 Bi 0.500 0.319 0.681
11 Bi 0.500 0.681 0.319

Values from the calculation:
D(E_F), states/eV/cell: 0.00
Uncorrected formation energy, meV per atom: -2363

***

A plane-wave DFT calculation with GGA-PBE was carried out for SnBi3F after structural relaxation.

a = 5.805 Å, b = 5.805 Å, c = 5.805 Å
α = 90.00°, β = 90.00°, γ = 90.00°
Positions (direct):
1 F 0.500 0.500 0.500
2 Bi 0.000 0.500 0.000
3 Bi 0.000 0.000 0.500
4 Bi 0.500 0.000 0.000
5 Sn 0.000 0.000 0.000

Values from the calculation:
D(E_F), states/eV/cell: 4.16
Uncorrected formation energy, meV per atom: 443
Polymorph energy (0 for the lowest one), eV/f.u.: 3.67

***

A plane-wave DFT calculation with GGA-PBE was carried out for TaSnBiF2 after structural relaxation.

a = 4.327 Å, b = 6.121 Å, c = 4.327 Å
α = 90.00°, β = 90.00°, γ = 90.00°
Positions (direct):
1 F 0.000 0.000 0.500
2 F 0.500 0.000 0.000
3 Bi 0.000 0.000 0.000
4 Sn 0.500 0.500 0.500
5 Ta 0.000 0.500 0.000

Values from the calculation:
D(E_F), states/eV/cell: 1.74
Uncorrected formation energy, meV per atom: -588

***

A plane-wave DFT calculation with GGA-PBE was carried out for SnBi2TeF after structural relaxation.

a = 4.951 Å, b = 5.617 Å, c = 4.951 Å
α = 90.00°, β = 90.00°, γ = 90.00°
Positions (direct):
1 F 0.000 0.000 0.000
2 Te 0.000 0.500 0.000
3 Bi 0.000 0.000 0.500
4 Bi 0.500 0.000 0.000
5 Sn 0.500 0.500 0.500

Values from the calculation:
D(E_F), states/eV/cell: 3.17
Uncorrected formation energy, meV per atom: -260

***

A plane-wave DFT calculation with GGA-PBE was carried out for Tl2SnBiF6 after structural relaxation.

a = 6.895 Å, b = 6.309 Å, c = 6.907 Å
α = 56.78°, β = 59.90°, γ = 89.99°
Positions (direct):
1 Tl 0.751 0.252 0.499
2 Tl 0.249 0.748 0.501
3 Sn 0.500 0.500 0.000
4 Bi 0.000 0.000 0.000
5 F 0.333 0.203 0.506
6 F 0.838 0.796 0.872
7 F 0.289 0.795 0.043
8 F 0.711 0.205 0.957
9 F 0.162 0.204 0.128
10 F 0.667 0.797 0.494

Values from the calculation:
D(E_F), states/eV/cell: 0.64
Uncorrected formation energy, meV per atom: -1922

***

A plane-wave DFT calculation with GGA-PBE was carried out for Sr2BiF8 after structural relaxation.

a = 4.011 Å, b = 5.282 Å, c = 8.417 Å
α = 108.29°, β = 103.79°, γ = 90.00°
Positions (direct):
1 Sr 0.174 0.674 0.348
2 Sr 0.826 0.326 0.652
3 Bi 0.500 0.000 0.000
4 F 0.613 0.860 0.226
5 F 0.387 0.634 0.774
6 F 0.229 0.229 0.459
7 F 0.000 0.231 0.000
8 F 0.771 0.771 0.541
9 F 0.613 0.366 0.226
10 F 0.387 0.140 0.774
11 F 0.000 0.769 0.000

Values from the calculation:
D(E_F), states/eV/cell: 3.97
Uncorrected formation energy, meV per atom: -3053

***

A plane-wave DFT calculation with GGA-PBE was carried out for Sr3Bi2F after structural relaxation.

a = 4.294 Å, b = 9.908 Å, c = 19.103 Å
α = 90.00°, β = 90.00°, γ = 90.00°
Positions (direct):
1 Sr 0.250 0.311 0.772
2 Sr 0.750 0.689 0.228
3 Sr 0.750 0.189 0.272
4 Sr 0.250 0.811 0.728
5 Sr 0.750 0.976 0.894
6 Sr 0.250 0.024 0.106
7 Sr 0.250 0.524 0.394
8 Sr 0.750 0.476 0.606
9 Sr 0.250 0.121 0.582
10 Sr 0.750 0.879 0.418
11 Sr 0.750 0.379 0.082
12 Sr 0.250 0.621 0.918
13 Bi 0.250 0.249 0.955
14 Bi 0.750 0.751 0.045
15 Bi 0.750 0.251 0.455
16 Bi 0.250 0.749 0.545
17 Bi 0.750 0.072 0.719
18 Bi 0.250 0.928 0.281
19 Bi 0.250 0.428 0.219
20 Bi 0.750 0.572 0.781
21 F 0.250 0.359 0.634
22 F 0.750 0.641 0.366
23 F 0.750 0.141 0.134
24 F 0.250 0.859 0.866

Values from the calculation:
D(E_F), states/eV/cell: 7.52
Uncorrected formation energy, meV per atom: -1607
Polymorph energy (0 for the lowest one), eV/f.u.: 0.00

***

A plane-wave DFT calculation with GGA-PBE was carried out for SrBiF5 after structural relaxation.

a = 5.219 Å, b = 5.219 Å, c = 8.112 Å
α = 91.48°, β = 91.48°, γ = 86.23°
Positions (direct):
1 Sr 0.000 0.000 0.000
2 Sr 0.000 0.000 0.500
3 Bi 0.518 0.482 0.750
4 Bi 0.482 0.518 0.250
5 F 0.619 0.075 0.820
6 F 0.405 0.266 0.503
7 F 0.075 0.619 0.320
8 F 0.178 0.822 0.750
9 F 0.734 0.595 0.997
10 F 0.266 0.405 0.003
11 F 0.822 0.178 0.250
12 F 0.925 0.381 0.680
13 F 0.595 0.734 0.497
14 F 0.381 0.925 0.180

Values from the calculation:
D(E_F), states/eV/cell: 0.00
Uncorrected formation energy, meV per atom: -3028

***

A plane-wave DFT calculation with GGA-PBE was carried out for Sr5Bi4F after structural relaxation.

a = 6.826 Å, b = 8.094 Å, c = 8.094 Å
α = 79.76°, β = 65.06°, γ = 65.06°
Positions (direct):
1 Sr 0.899 0.369 0.832
2 Sr 0.269 0.832 0.631
3 Sr 0.731 0.168 0.369
4 Sr 0.100 0.631 0.168
5 Sr 0.431 0.000 0.000
6 Bi 0.420 0.394 0.770
7 Bi 0.814 0.770 0.606
8 Bi 0.190 0.230 0.394
9 Bi 0.585 0.606 0.230
10 F 0.070 0.000 0.000

Values from the calculation:
D(E_F), states/eV/cell: 7.13
Uncorrected formation energy, meV per atom: -1084

***

A plane-wave DFT calculation with GGA-PBE was carried out for Sr3Bi2F after structural relaxation.

a = 6.722 Å, b = 9.323 Å, c = 7.582 Å
α = 99.62°, β = 116.31°, γ = 90.00°
Positions (direct):
1 Sr 0.370 0.250 0.000
2 Sr 0.630 0.750 0.000
3 Sr 0.041 0.175 0.307
4 Sr 0.734 0.325 0.693
5 Sr 0.266 0.675 0.307
6 Sr 0.959 0.825 0.693
7 Bi 0.757 0.514 0.307
8 Bi 0.550 0.014 0.307
9 Bi 0.450 0.986 0.693
10 Bi 0.243 0.486 0.693
11 F 0.984 0.750 0.000
12 F 0.016 0.250 0.000

Values from the calculation:
D(E_F), states/eV/cell: 2.06
Uncorrected formation energy, meV per atom: -1532
Polymorph energy (0 for the lowest one), eV/f.u.: 0.46

***

A plane-wave DFT calculation with GGA-PBE was carried out for SrBi2F7 after structural relaxation.

a = 4.149 Å, b = 4.149 Å, c = 11.762 Å
α = 79.84°, β = 79.84°, γ = 60.00°
Positions (direct):
1 Sr 0.500 0.500 0.500
2 Bi 0.066 0.066 0.803
3 Bi 0.934 0.934 0.197
4 F 0.718 0.718 0.846
5 F 0.574 0.574 0.277
6 F 0.000 0.000 0.000
7 F 0.282 0.282 0.154
8 F 0.142 0.142 0.573
9 F 0.858 0.858 0.427
10 F 0.426 0.426 0.723

Values from the calculation:
D(E_F), states/eV/cell: 4.71
Uncorrected formation energy, meV per atom: -2638

***

A plane-wave DFT calculation with GGA-PBE was carried out for SrBi2F8 after structural relaxation.

a = 4.378 Å, b = 6.415 Å, c = 6.415 Å
α = 111.88°, β = 96.92°, γ = 96.92°
Positions (direct):
1 Sr 0.500 0.000 0.000
2 Bi 0.000 0.321 0.679
3 Bi 0.000 0.679 0.321
4 F 0.926 0.949 0.680
5 F 0.926 0.680 0.949
6 F 0.305 0.633 0.633
7 F 0.500 0.759 0.241
8 F 0.500 0.241 0.759
9 F 0.695 0.367 0.367
10 F 0.074 0.320 0.051
11 F 0.074 0.051 0.320

Values from the calculation:
D(E_F), states/eV/cell: 0.00
Uncorrected formation energy, meV per atom: -2852

***

A plane-wave DFT calculation with GGA-PBE was carried out for TaBiF3 after structural relaxation.

a = 4.348 Å, b = 4.348 Å, c = 4.348 Å
α = 90.00°, β = 90.00°, γ = 90.00°
Positions (direct):
1 F 0.000 0.500 0.000
2 F 0.000 0.000 0.500
3 F 0.500 0.000 0.000
4 Bi 0.500 0.500 0.500
5 Ta 0.000 0.000 0.000

Values from the calculation:
D(E_F), states/eV/cell: 2.49
Uncorrected formation energy, meV per atom: -1304
Polymorph energy (0 for the lowest one), eV/f.u.: 0.00

***

A plane-wave DFT calculation with GGA-PBE was carried out for TaBiF2 after structural relaxation.

a = 4.499 Å, b = 4.499 Å, c = 7.773 Å
α = 73.18°, β = 73.18°, γ = 90.00°
Positions (direct):
1 F 0.433 0.125 0.250
2 F 0.317 0.625 0.250
3 F 0.375 0.567 0.750
4 F 0.875 0.683 0.750
5 Bi 0.000 0.000 0.000
6 Bi 0.750 0.250 0.500
7 Ta 0.500 0.500 0.000
8 Ta 0.250 0.750 0.500

Values from the calculation:
D(E_F), states/eV/cell: 3.90
Uncorrected formation energy, meV per atom: -1050
Polymorph energy (0 for the lowest one), eV/f.u.: 1.50

***

A plane-wave DFT calculation with GGA-PBE was carried out for TaBi2F after structural relaxation.

a = 4.984 Å, b = 4.984 Å, c = 4.984 Å
α = 60.00°, β = 60.00°, γ = 60.00°
Positions (direct):
1 F 0.000 0.000 0.000
2 Bi 0.250 0.250 0.250
3 Bi 0.750 0.750 0.750
4 Ta 0.500 0.500 0.500

Values from the calculation:
D(E_F), states/eV/cell: 2.50
Uncorrected formation energy, meV per atom: -12
Polymorph energy (0 for the lowest one), eV/f.u.: 0.00

***

A plane-wave DFT calculation with GGA-PBE was carried out for TaBi2F after structural relaxation.

a = 6.085 Å, b = 6.085 Å, c = 7.738 Å
α = 66.85°, β = 66.85°, γ = 90.00°
Positions (direct):
1 F 0.500 0.500 0.000
2 F 0.250 0.750 0.500
3 Bi 0.600 0.125 0.250
4 Bi 0.150 0.625 0.250
5 Bi 0.375 0.400 0.750
6 Bi 0.875 0.850 0.750
7 Ta 0.000 0.000 0.000
8 Ta 0.750 0.250 0.500

Values from the calculation:
D(E_F), states/eV/cell: 7.37
Uncorrected formation energy, meV per atom: 206
Polymorph energy (0 for the lowest one), eV/f.u.: 0.87

***

A plane-wave DFT calculation with GGA-PBE was carried out for Ta2Bi2F after structural relaxation.

a = 8.025 Å, b = 8.025 Å, c = 3.537 Å
α = 90.00°, β = 90.00°, γ = 90.00°
Positions (direct):
1 F 0.000 0.000 0.000
2 F 0.500 0.500 0.000
3 Bi 0.333 0.833 0.000
4 Bi 0.833 0.667 0.000
5 Bi 0.667 0.167 0.000
6 Bi 0.167 0.333 0.000
7 Ta 0.121 0.621 0.500
8 Ta 0.621 0.879 0.500
9 Ta 0.879 0.379 0.500
10 Ta 0.379 0.121 0.500

Values from the calculation:
D(E_F), states/eV/cell: 3.58
Uncorrected formation energy, meV per atom: 260
Polymorph energy (0 for the lowest one), eV/f.u.: 1.25

***

A plane-wave DFT calculation with GGA-PBE was carried out for TaBiF2 after structural relaxation.

a = 10.680 Å, b = 10.680 Å, c = 10.680 Å
α = 17.14°, β = 17.14°, γ = 17.14°
Positions (direct):
1 F 0.940 0.940 0.940
2 F 0.060 0.060 0.060
3 Bi 0.500 0.500 0.500
4 Ta 0.000 0.000 0.000

Values from the calculation:
D(E_F), states/eV/cell: 2.27
Uncorrected formation energy, meV per atom: -1426
Polymorph energy (0 for the lowest one), eV/f.u.: 0.00

***

no.,calculated total energy (eV for the cell shown)
1,-35.12
2,-12.24
3,-15.69
4,-18.97
5,-31.18
6,-12.36
7,-52.72
8,-15.30
9,-26.42
10,-18.08
11,-43.06
12,-55.80
13,-97.29
14,-72.24
15,-36.64
16,-47.74
17,-48.92
18,-55.79
19,-27.87
20,-47.35
21,-21.53
22,-41.32
23,-64.08
24,-25.18